Pm2Cu3Si4 after structural relaxation, computed with PBE-GGA.

Cell and atoms, written as POSCAR:
```
Pm2Cu3Si4
1.0
5.5696 0.0000 0.0000
0.0000 7.3665 0.0000
-2.7848 0.0000 7.3711
Si Cu Pm
8 6 4
direct
0.8214 0.0115 0.6427
0.3095 0.2500 0.1190
0.1905 0.7500 0.8810
0.8095 0.2500 0.1190
0.3214 0.4885 0.6427
0.6786 0.5115 0.3573
0.6905 0.7500 0.8810
0.1786 0.9885 0.3573
0.5000 0.5000 0.0000
0.4717 0.2500 0.4435
0.9717 0.2500 0.4435
0.0283 0.7500 0.5565
0.0000 0.0000 0.0000
0.5283 0.7500 0.5565
0.6101 0.9031 0.2201
0.1101 0.5969 0.2201
0.8899 0.4031 0.7799
0.3899 0.0969 0.7799
```

Values from the calculation:
Raw formation energy = -0.418 eV/atom
Magnetic moment = 0.000 μB per atom
Symmetry = Cmce (64)